Entry from Alexandria: crystalline Cs2RbAu2 at its relaxed geometry (GGA-PBEsol). Values from VASP.

```
&SYSTEM
  ibrav = 0, nat = 10, ntyp = 3
/
ATOMIC_SPECIES
Cs 132.91 Cs.upf
Rb 85.47 Rb.upf
Au 196.97 Au.upf
ATOMIC_POSITIONS crystal
Cs 0.131 0.369 0.000
Cs 0.369 0.869 0.000
Cs 0.631 0.131 0.000
Cs 0.869 0.631 0.000
Rb 0.000 0.000 0.000
Rb 0.500 0.500 0.000
Au 0.168 0.668 0.500
Au 0.332 0.168 0.500
Au 0.668 0.832 0.500
Au 0.832 0.332 0.500
CELL_PARAMETERS angstrom
9.944 0.000 0.000
0.000 9.944 0.000
0.000 0.000 4.052
```

Computed properties:
Its energy relative to the elements is -84.9 meV per atom. The calculation puts the total DFT energy (no corrections) at -2.237 eV/atom. The relative energy among the computed polymorphs is 0 meV/atom.



Entry from Alexandria: crystalline GaGeH3 at its relaxed geometry (GGA-PBEsol). Values from VASP.

```
&SYSTEM
  ibrav = 0, nat = 5, ntyp = 3
/
ATOMIC_SPECIES
Ga 69.72 Ga.upf
Ge 72.64 Ge.upf
H 1.01 H.upf
ATOMIC_POSITIONS crystal
Ga 0.000 0.000 0.000
Ge 0.500 0.500 0.500
H 0.000 0.000 0.500
H 0.000 0.500 0.000
H 0.500 0.000 0.000
CELL_PARAMETERS angstrom
3.661 0.000 0.000
0.000 3.661 0.000
0.000 0.000 3.661
```

Computed properties:
The calculation puts the total DFT energy (no corrections) at -3.079 eV/atom.



Entry from Alexandria: crystalline LiHNO2 at its relaxed geometry (GGA-PBEsol). Values from VASP.

```
&SYSTEM
  ibrav = 0, nat = 5, ntyp = 4
/
ATOMIC_SPECIES
Li 6.94 Li.upf
H 1.01 H.upf
N 14.01 N.upf
O 16.00 O.upf
ATOMIC_POSITIONS crystal
Li 0.000 0.000 0.000
H 0.500 0.500 0.500
N 0.500 0.500 0.000
O 0.000 0.500 0.500
O 0.500 0.000 0.500
CELL_PARAMETERS angstrom
2.984 0.000 0.000
0.000 2.984 0.000
0.000 0.000 4.361
```

Computed properties:
The calculation puts the total DFT energy (no corrections) at -3.894 eV/atom.



Entry from Alexandria: crystalline CaCrSb2Mo at its relaxed geometry (GGA-PBEsol). Values from VASP.

```
&SYSTEM
  ibrav = 0, nat = 5, ntyp = 4
/
ATOMIC_SPECIES
Ca 40.08 Ca.upf
Cr 52.00 Cr.upf
Sb 121.76 Sb.upf
Mo 95.94 Mo.upf
ATOMIC_POSITIONS crystal
Ca 0.000 0.000 0.000
Cr 0.000 0.000 0.500
Sb 0.000 0.500 0.000
Sb 0.500 0.000 0.000
Mo 0.500 0.500 0.500
CELL_PARAMETERS angstrom
5.483 0.000 0.000
0.000 5.483 0.000
0.000 0.000 4.948
```

Computed properties:
The formation energy without anion corrections comes out at 1857 meV/atom. The calculation puts the total DFT energy (no corrections) at -4.795 eV/atom.



Entry from Alexandria: crystalline La2GeH2 at its relaxed geometry (GGA-PBEsol). Values from VASP.

```
&SYSTEM
  ibrav = 0, nat = 5, ntyp = 3
/
ATOMIC_SPECIES
La 138.91 La.upf
Ge 72.64 Ge.upf
H 1.01 H.upf
ATOMIC_POSITIONS crystal
La 0.139 0.139 0.000
La 0.861 0.861 0.000
Ge 0.500 0.500 0.000
H 0.250 0.750 0.500
H 0.750 0.250 0.500
CELL_PARAMETERS angstrom
-2.005 2.005 5.610
2.005 -2.005 5.610
2.005 2.005 -5.610
```

Computed properties:
The calculation puts the total DFT energy (no corrections) at -5.162 eV/atom.



Entry from Alexandria: crystalline InHgPb2 at its relaxed geometry (GGA-PBEsol). Values from VASP.

```
&SYSTEM
  ibrav = 0, nat = 4, ntyp = 3
/
ATOMIC_SPECIES
In 114.82 In.upf
Hg 200.59 Hg.upf
Pb 207.20 Pb.upf
ATOMIC_POSITIONS crystal
In 0.000 0.000 0.000
Hg 0.573 0.500 0.765
Pb 0.073 0.000 0.525
Pb 0.536 0.500 0.250
CELL_PARAMETERS angstrom
3.424 0.000 0.000
0.000 4.674 0.000
-0.703 0.000 6.710
```

Computed properties:
Its energy relative to the elements is -0.6 meV per atom. The calculation puts the total DFT energy (no corrections) at -2.887 eV/atom. The relative energy among the computed polymorphs is 0 meV/atom.



Entry from Alexandria: crystalline AlCdSnS2 at its relaxed geometry (GGA-PBEsol). Values from VASP.

```
&SYSTEM
  ibrav = 0, nat = 5, ntyp = 4
/
ATOMIC_SPECIES
Al 26.98 Al.upf
Cd 112.41 Cd.upf
Sn 118.71 Sn.upf
S 32.06 S.upf
ATOMIC_POSITIONS crystal
Al 0.000 0.000 0.000
Cd 0.500 0.500 0.500
Sn 0.500 0.500 0.000
S 0.000 0.500 0.500
S 0.500 0.000 0.500
CELL_PARAMETERS angstrom
4.880 0.000 0.000
0.000 4.880 0.000
0.000 0.000 5.486
```

Computed properties:
The formation energy without anion corrections comes out at 615 meV/atom. The calculation puts the total DFT energy (no corrections) at -3.048 eV/atom.



Entry from Alexandria: crystalline Sr2TaNiN at its relaxed geometry (GGA-PBEsol). Values from VASP.

```
&SYSTEM
  ibrav = 0, nat = 5, ntyp = 4
/
ATOMIC_SPECIES
Sr 87.62 Sr.upf
Ta 180.95 Ta.upf
Ni 58.69 Ni.upf
N 14.01 N.upf
ATOMIC_POSITIONS crystal
Sr 0.000 0.500 0.000
Sr 0.500 0.000 0.000
Ta 0.000 0.000 0.500
Ni 0.500 0.500 0.500
N 0.500 0.500 0.000
CELL_PARAMETERS angstrom
5.570 0.000 0.000
0.000 5.570 0.000
0.000 0.000 3.432
```

Computed properties:
The formation energy without anion corrections comes out at 489 meV/atom. The calculation puts the total DFT energy (no corrections) at -5.695 eV/atom.



Entry from Alexandria: crystalline MgAs2PtAu at its relaxed geometry (GGA-PBEsol). Values from VASP.

```
&SYSTEM
  ibrav = 0, nat = 5, ntyp = 4
/
ATOMIC_SPECIES
Mg 24.30 Mg.upf
As 74.92 As.upf
Pt 195.08 Pt.upf
Au 196.97 Au.upf
ATOMIC_POSITIONS crystal
Mg 0.000 0.000 0.000
As 0.000 0.500 0.500
As 0.500 0.000 0.500
Pt 0.500 0.500 0.500
Au 0.500 0.500 0.000
CELL_PARAMETERS angstrom
4.779 0.000 0.000
0.000 4.779 0.000
0.000 0.000 5.111
```

Computed properties:
Its energy relative to the elements is 349.3 meV per atom. The calculation puts the total DFT energy (no corrections) at -4.214 eV/atom.



Entry from Alexandria: crystalline AgAs2 at its relaxed geometry (GGA-PBEsol). Values from VASP.

```
&SYSTEM
  ibrav = 0, nat = 9, ntyp = 2
/
ATOMIC_SPECIES
Ag 107.87 Ag.upf
As 74.92 As.upf
ATOMIC_POSITIONS crystal
Ag 0.000 0.000 0.000
Ag 0.333 0.667 0.500
Ag 0.667 0.333 0.500
As 0.000 0.286 0.500
As 0.000 0.527 0.000
As 0.286 0.000 0.500
As 0.473 0.473 0.000
As 0.527 0.000 0.000
As 0.714 0.714 0.500
CELL_PARAMETERS angstrom
7.552 0.000 0.000
-3.776 6.540 0.000
0.000 0.000 3.582
```

Computed properties:
Its energy relative to the elements is 249.1 meV per atom. The calculation puts the total DFT energy (no corrections) at -4.259 eV/atom.



Entry from Alexandria: crystalline Zr2Se3S3 at its relaxed geometry (GGA-PBEsol). Values from VASP.

```
&SYSTEM
  ibrav = 0, nat = 8, ntyp = 3
/
ATOMIC_SPECIES
Zr 91.22 Zr.upf
Se 78.96 Se.upf
S 32.06 S.upf
ATOMIC_POSITIONS crystal
Zr 0.000 0.000 0.000
Zr 0.428 0.500 0.680
Se 0.249 0.500 0.185
Se 0.477 0.000 0.897
Se 0.952 0.500 0.783
S 0.190 0.000 0.519
S 0.584 0.000 0.515
S 0.820 0.500 0.152
CELL_PARAMETERS angstrom
5.262 0.000 0.000
0.000 3.667 0.000
-1.228 0.000 9.298
```

Computed properties:
The formation energy without anion corrections comes out at -1160 meV/atom. The calculation puts the total DFT energy (no corrections) at -6.520 eV/atom.



Entry from Alexandria: crystalline Ba2Fe4AsP3 at its relaxed geometry (GGA-PBEsol). Values from VASP.

```
&SYSTEM
  ibrav = 0, nat = 10, ntyp = 4
/
ATOMIC_SPECIES
Ba 137.33 Ba.upf
Fe 55.84 Fe.upf
As 74.92 As.upf
P 30.97 P.upf
ATOMIC_POSITIONS crystal
Ba 0.000 0.000 0.000
Ba 0.500 0.499 0.499
Fe 0.246 0.001 0.508
Fe 0.246 0.508 0.001
Fe 0.754 0.001 0.508
Fe 0.754 0.508 0.001
As 0.500 0.154 0.154
P 0.000 0.341 0.341
P 0.000 0.664 0.664
P 0.500 0.840 0.840
CELL_PARAMETERS angstrom
5.388 0.000 0.000
0.000 2.694 6.097
0.000 -2.694 6.097
```

Computed properties:
Its energy relative to the elements is -807.8 meV per atom. The calculation puts the total DFT energy (no corrections) at -7.071 eV/atom.



Entry from Alexandria: crystalline Zn2Ga2Hg at its relaxed geometry (GGA-PBEsol). Values from VASP.

```
&SYSTEM
  ibrav = 0, nat = 10, ntyp = 3
/
ATOMIC_SPECIES
Zn 65.41 Zn.upf
Ga 69.72 Ga.upf
Hg 200.59 Hg.upf
ATOMIC_POSITIONS crystal
Zn 0.165 0.335 0.000
Zn 0.335 0.835 0.000
Zn 0.665 0.165 0.000
Zn 0.835 0.665 0.000
Ga 0.132 0.632 0.500
Ga 0.368 0.132 0.500
Ga 0.632 0.868 0.500
Ga 0.868 0.368 0.500
Hg 0.000 0.000 0.500
Hg 0.500 0.500 0.500
CELL_PARAMETERS angstrom
7.971 0.000 0.000
0.000 7.971 0.000
0.000 0.000 2.796
```

Computed properties:
Its energy relative to the elements is 82.2 meV per atom. The calculation puts the total DFT energy (no corrections) at -2.000 eV/atom. The relative energy among the computed polymorphs is 0 meV/atom.



Entry from Alexandria: crystalline Ag3IN at its relaxed geometry (GGA-PBEsol). Values from VASP.

```
&SYSTEM
  ibrav = 0, nat = 5, ntyp = 3
/
ATOMIC_SPECIES
Ag 107.87 Ag.upf
I 126.90 I.upf
N 14.01 N.upf
ATOMIC_POSITIONS crystal
Ag 0.000 0.000 0.500
Ag 0.000 0.500 0.000
Ag 0.500 0.000 0.000
I 0.500 0.500 0.500
N 0.000 0.000 0.000
CELL_PARAMETERS angstrom
4.475 0.000 0.000
0.000 4.475 0.000
0.000 0.000 4.475
```

Computed properties:
The formation energy without anion corrections comes out at 567 meV/atom. The calculation puts the total DFT energy (no corrections) at -3.478 eV/atom.



Entry from Alexandria: crystalline La2CoO4 at its relaxed geometry (GGA-PBEsol). Values from VASP.

```
&SYSTEM
  ibrav = 0, nat = 7, ntyp = 3
/
ATOMIC_SPECIES
La 138.91 La.upf
Co 58.93 Co.upf
O 16.00 O.upf
ATOMIC_POSITIONS crystal
La 0.137 0.137 0.000
La 0.863 0.863 0.000
Co 0.500 0.500 0.000
O 0.000 0.500 0.500
O 0.322 0.322 0.000
O 0.500 0.000 0.500
O 0.678 0.678 0.000
CELL_PARAMETERS angstrom
-1.885 1.885 6.328
1.885 -1.885 6.328
1.885 1.885 -6.328
```

Computed properties:
The formation energy without anion corrections comes out at -2660 meV/atom. The calculation puts the total DFT energy (no corrections) at -8.292 eV/atom.



Entry from Alexandria: crystalline Ca2CoTeO6 at its relaxed geometry (GGA-PBEsol). Values from VASP.

```
&SYSTEM
  ibrav = 0, nat = 20, ntyp = 4
/
ATOMIC_SPECIES
Ca 40.08 Ca.upf
Co 58.93 Co.upf
Te 127.60 Te.upf
O 16.00 O.upf
ATOMIC_POSITIONS crystal
Ca 0.234 0.055 0.249
Ca 0.234 0.445 0.749
Ca 0.766 0.555 0.251
Ca 0.766 0.945 0.751
Co 0.000 0.000 0.500
Co 0.000 0.500 0.000
Te 0.500 0.000 0.000
Te 0.500 0.500 0.500
O 0.160 0.195 0.954
O 0.160 0.305 0.454
O 0.256 0.711 0.949
O 0.256 0.789 0.449
O 0.349 0.032 0.754
O 0.349 0.468 0.254
O 0.651 0.532 0.746
O 0.651 0.968 0.246
O 0.744 0.211 0.551
O 0.744 0.289 0.051
O 0.840 0.695 0.546
O 0.840 0.805 0.046
CELL_PARAMETERS angstrom
5.410 0.000 0.000
0.000 5.592 0.000
-5.334 0.000 7.672
```

Computed properties:
The formation energy without anion corrections comes out at -1898 meV/atom. The calculation puts the total DFT energy (no corrections) at -6.601 eV/atom.



Entry from Alexandria: crystalline Zr2PtW at its relaxed geometry (GGA-PBEsol). Values from VASP.

```
&SYSTEM
  ibrav = 0, nat = 4, ntyp = 3
/
ATOMIC_SPECIES
Zr 91.22 Zr.upf
Pt 195.08 Pt.upf
W 183.84 W.upf
ATOMIC_POSITIONS crystal
Zr 0.000 0.000 0.244
Zr 0.000 0.000 0.756
Pt 0.500 0.500 0.000
W 0.500 0.500 0.500
CELL_PARAMETERS angstrom
1.821 -2.283 0.000
1.821 2.283 0.000
0.000 0.000 8.618
```

Computed properties:
Its energy relative to the elements is -291.8 meV per atom. The calculation puts the total DFT energy (no corrections) at -10.029 eV/atom.



Entry from Alexandria: crystalline La3Ru at its relaxed geometry (GGA-PBEsol). Values from VASP.

```
&SYSTEM
  ibrav = 0, nat = 4, ntyp = 2
/
ATOMIC_SPECIES
La 138.91 La.upf
Ru 101.07 Ru.upf
ATOMIC_POSITIONS crystal
La 0.000 0.000 0.000
La 0.412 0.500 0.694
La 0.588 0.500 0.306
Ru 0.000 0.000 0.500
CELL_PARAMETERS angstrom
3.519 0.000 0.000
0.000 3.752 0.000
-1.072 0.000 8.428
```

Computed properties:
Its energy relative to the elements is -14.9 meV per atom. The calculation puts the total DFT energy (no corrections) at -6.568 eV/atom.



Entry from Alexandria: crystalline Zn2RhBr at its relaxed geometry (GGA-PBEsol). Values from VASP.

```
&SYSTEM
  ibrav = 0, nat = 4, ntyp = 3
/
ATOMIC_SPECIES
Zn 65.41 Zn.upf
Rh 102.91 Rh.upf
Br 79.90 Br.upf
ATOMIC_POSITIONS crystal
Zn 0.000 0.000 0.000
Zn 0.250 0.250 0.250
Rh 0.500 0.500 0.500
Br 0.750 0.750 0.750
CELL_PARAMETERS angstrom
0.000 3.155 3.155
3.155 0.000 3.155
3.155 3.155 0.000
```

Computed properties:
The formation energy without anion corrections comes out at 280 meV/atom. The calculation puts the total DFT energy (no corrections) at -3.013 eV/atom. The relative energy among the computed polymorphs is 398 meV/atom.



Entry from Alexandria: crystalline Ba2LiHg at its relaxed geometry (GGA-PBEsol). Values from VASP.

```
&SYSTEM
  ibrav = 0, nat = 4, ntyp = 3
/
ATOMIC_SPECIES
Ba 137.33 Ba.upf
Li 6.94 Li.upf
Hg 200.59 Hg.upf
ATOMIC_POSITIONS crystal
Ba 0.000 0.000 0.000
Ba 0.500 0.500 0.391
Li 0.500 0.500 0.745
Hg 0.000 0.000 0.617
CELL_PARAMETERS angstrom
4.039 0.000 0.000
0.000 4.039 0.000
0.000 0.000 9.028
```

Computed properties:
Its energy relative to the elements is -232.6 meV per atom. The calculation puts the total DFT energy (no corrections) at -1.940 eV/atom.